A plane-wave DFT calculation with PBE was carried out for crystalline GaSbAu at its relaxed geometry.

Structure (CIF):
```
data_GaSbAu
_chemical_formula_sum 'Ga1 Sb1 Au1'
_space_group_name_H-M_alt 'P 1'
_space_group_IT_number 1
_cell_length_a 3.639
_cell_length_b 4.356
_cell_length_c 4.672
_cell_angle_alpha 81.98
_cell_angle_beta 89.23
_cell_angle_gamma 66.42
loop_
_space_group_symop_operation_xyz
'x,y,z'
loop_
_atom_site_label
_atom_site_type_symbol
_atom_site_fract_x
_atom_site_fract_y
_atom_site_fract_z
_atom_site_occupancy
Ga1 Ga 0.000 0.000 0.000 1
Sb1 Sb 0.337 0.318 0.408 1
Au1 Au 0.668 0.657 0.740 1
```

Properties
* uncorrected formation energy: -0.13 eV per formula unit
* distance to the lowest polymorph of the same formula: 0.11 eV/f.u.

A plane-wave DFT calculation with PBE was carried out for crystalline Tm12ScTe7 at its relaxed geometry.

Structure (CIF):
```
data_Tm12ScTe7
_chemical_formula_sum 'Tm36 Sc3 Te21'
_space_group_name_H-M_alt 'R -3'
_space_group_IT_number 148
_space_group_name_Hall '-R 3'
_cell_length_a 14.8475
_cell_length_b 14.8475
_cell_length_c 9.5330
_cell_angle_alpha 90.00
_cell_angle_beta 90.00
_cell_angle_gamma 120.00
loop_
_atom_site_label
_atom_site_type_symbol
_atom_site_fract_x
_atom_site_fract_y
_atom_site_fract_z
_atom_site_occupancy
Tm1 Tm 0.0109 0.4021 0.2010 1
Tm2 Tm 0.0797 0.8748 0.8393 1
Sc1 Sc 0.0000 0.0000 0.5000 1
Te1 Te 0.0000 0.0000 0.0000 1
Te2 Te 0.0793 0.8906 0.3354 1
```

Properties
* uncorrected formation energy: -13.80 eV per formula unit

A plane-wave DFT calculation with PBE was carried out for crystalline ErCoAg at its relaxed geometry.

Structure (CIF):
```
data_ErCoAg
_chemical_formula_sum 'Er4 Co4 Ag4'
_space_group_name_H-M_alt 'C m c m'
_space_group_IT_number 63
_space_group_name_Hall '-C 2c 2'
_cell_length_a 3.703
_cell_length_b 16.277
_cell_length_c 3.789
_cell_angle_alpha 90.00
_cell_angle_beta 90.00
_cell_angle_gamma 90.00
loop_
_atom_site_label
_atom_site_type_symbol
_atom_site_fract_x
_atom_site_fract_y
_atom_site_fract_z
_atom_site_occupancy
Er1 Er 0.000 0.100 0.250 1
Co1 Co 0.000 0.466 0.250 1
Ag1 Ag 0.000 0.294 0.250 1
```

Properties
* formation energy: -0.7 eV per formula unit

A plane-wave DFT calculation with PBE was carried out for crystalline Cu2HgW at its relaxed geometry.

Structure (CIF):
```
data_Cu2HgW
_chemical_formula_sum 'Cu4 Hg2 W2'
_space_group_name_H-M_alt 'C 1 2/m 1'
_space_group_IT_number 12
_cell_length_a 8.762
_cell_length_b 2.750
_cell_length_c 5.289
_cell_angle_alpha 90.00
_cell_angle_beta 96.69
_cell_angle_gamma 90.00
loop_
_space_group_symop_operation_xyz
'x,y,z'
'-x,-y,-z'
'-x,y,-z'
'x,-y,z'
'x+1/2,y+1/2,z'
'-x+1/2,-y+1/2,-z'
'-x+1/2,y+1/2,-z'
'x+1/2,-y+1/2,z'
loop_
_atom_site_label
_atom_site_type_symbol
_atom_site_fract_x
_atom_site_fract_y
_atom_site_fract_z
_atom_site_occupancy
Cu1 Cu 0.246 0.000 0.210 1
Hg1 Hg 0.000 0.000 0.500 1
W1 W 0.000 0.500 0.000 1
```

Properties
* formation energy: 2.2 eV per formula unit

A plane-wave DFT calculation with PBE was carried out for crystalline CsCaV2Cr at its relaxed geometry.

Structure (CIF):
```
data_CsCaV2Cr
_chemical_formula_sum 'Cs1 Ca1 V2 Cr1'
_space_group_name_H-M_alt 'P 4/m m m'
_space_group_IT_number 123
_space_group_name_Hall '-P 4 2'
_cell_length_a 5.783
_cell_length_b 5.783
_cell_length_c 5.955
_cell_angle_alpha 90.00
_cell_angle_beta 90.00
_cell_angle_gamma 90.00
loop_
_atom_site_label
_atom_site_type_symbol
_atom_site_fract_x
_atom_site_fract_y
_atom_site_fract_z
_atom_site_occupancy
Cs1 Cs 0.000 0.000 0.000 1
Ca1 Ca 0.500 0.500 0.500 1
V1 V 0.000 0.500 0.500 1
Cr1 Cr 0.500 0.500 0.000 1
```

Properties
* formation energy: 9.8 eV per formula unit

A plane-wave DFT calculation with PBE was carried out for crystalline BaCoNi at its relaxed geometry.

Structure (CIF):
```
data_BaCoNi
_chemical_formula_sum 'Ba4 Co4 Ni4'
_space_group_name_H-M_alt 'F -4 3 m'
_space_group_IT_number 216
_space_group_name_Hall 'F -4 2 3'
_cell_length_a 6.597
_cell_length_b 6.597
_cell_length_c 6.597
_cell_angle_alpha 90.00
_cell_angle_beta 90.00
_cell_angle_gamma 90.00
loop_
_atom_site_label
_atom_site_type_symbol
_atom_site_fract_x
_atom_site_fract_y
_atom_site_fract_z
_atom_site_occupancy
Ba1 Ba 0.000 0.000 0.000 1
Co1 Co 0.250 0.250 0.750 1
Ni1 Ni 0.000 0.000 0.500 1
```

Properties
* formation energy: 2.7 eV per formula unit
* distance to the lowest polymorph of the same formula: 1.82 eV/f.u.